LiFeNi2Ge | Alexandria | PBE-GGA | optimized geometry; density = 6.735 g/cm³; energy relative to the elements = 69.22 kJ per mole of atoms
1.0
3.900 0.000 0.000
0.000 3.900 0.000
0.000 0.000 4.097
Li Fe Ni Ge
1 1 2 1
Direct
0.000 0.000 0.000 Li
0.000 0.000 0.500 Fe
0.000 0.500 0.000 Ni
0.500 0.000 0.000 Ni
0.500 0.500 0.500 Ge